# 1
DFT (PBE-GGA) results for Tb2SmMg2 after structural relaxation.

Cell: 4.6606 4.6606 14.7785 Å, 99.07 99.07 90.00°
Last column: nearest neighbours and their distance in Å.
Positions (direct):
1 Tb 0.0000 0.5000 0.0000  4 Mg 3.17, 4 Tb 3.30
2 Tb 0.1749 0.1749 0.3499  5 Mg 2.90-3.18
3 Tb 0.5000 0.0000 0.0000  4 Mg 3.17, 4 Tb 3.30
4 Tb 0.8251 0.8251 0.6501  5 Mg 2.90-3.18
5 Sm 0.6225 0.6225 0.2449  4 Mg 3.58, 4 Tb 3.63
6 Sm 0.3775 0.3775 0.7551  4 Mg 3.58, 4 Tb 3.63
7 Mg 0.7500 0.2500 0.5000  4 Tb 3.18, 4 Mg 3.30
8 Mg 0.9257 0.9257 0.8513  5 Tb 2.90-3.17
9 Mg 0.0743 0.0743 0.1487  5 Tb 2.90-3.17
10 Mg 0.2500 0.7500 0.5000  4 Tb 3.18, 4 Mg 3.30

Output
* crystal system: tetragonal
* formation energy: 1.4 eV per formula unit
* calculated total energy: -0.1159 hartree per atom
* distance to the lowest polymorph of the same formula: 352 meV per atom

=====

# 2
DFT (PBE-GGA) results for TbSm6Mg after structural relaxation.

Cell: 5.0371 5.0371 10.1463 Å, 90.00 90.00 90.00°
Last column: nearest neighbours and their distance in Å.
Positions (direct):
1 Tb 0.0000 0.0000 0.5000  12 Sm 3.56-3.59
2 Sm 0.5000 0.5000 0.0000  8 Sm 3.55, 4 Mg 3.56
3 Sm 0.5000 0.5000 0.5000  4 Tb 3.56, 8 Sm 3.59
4 Sm 0.5000 0.0000 0.2472  8 Sm 3.55-3.59, 2 Mg 3.55, 2 Tb 3.59
5 Sm 0.5000 0.0000 0.7528  2 Mg 3.55, 8 Sm 3.55-3.59, 2 Tb 3.59
6 Sm 0.0000 0.5000 0.2472  8 Sm 3.55-3.59, 2 Mg 3.55, 2 Tb 3.59
7 Sm 0.0000 0.5000 0.7528  8 Sm 3.55-3.59, 2 Mg 3.55, 2 Tb 3.59
8 Mg 0.0000 0.0000 0.0000  12 Sm 3.55-3.56

Output
* crystal system: tetragonal
* formation energy: 0.1 eV per formula unit
* calculated total energy: -0.1583 hartree per atom
* distance to the lowest polymorph of the same formula: 0 meV per atom